Entry 1:
{
  "formula": "Cd3TcOs",
  "functional": "PBE",
  "state": "relaxed",
  "lattice_angstrom": [[5.129, 0.000, 0.000], [0.000, 5.129, 0.000], [0.000, 0.000, 5.129]],
  "species": ["Cd", "Cd", "Cd", "Tc", "Os"],
  "fractional_positions": [[0.000, 0.000, 0.500], [0.000, 0.500, 0.000], [0.500, 0.000, 0.000], [0.500, 0.500, 0.500], [0.000, 0.000, 0.000]],
  "e_form_ev_per_atom": 1.55,
  "space_group": "Pm-3m, No. 221"
}

***

Entry 2:
{
  "formula": "AlAuIO2",
  "functional": "PBE",
  "state": "relaxed",
  "lattice_angstrom": [[3.760, 0.000, 0.000], [0.000, 3.760, 0.000], [0.000, 0.000, 6.685]],
  "species": ["Al", "Au", "I", "O", "O"],
  "fractional_positions": [[0.000, 0.000, 0.000], [0.500, 0.500, 0.500], [0.000, 0.000, 0.500], [0.000, 0.500, 0.000], [0.500, 0.000, 0.000]],
  "formation_energy_uncorrected_ev_per_atom": -0.7920,
  "space_group": "P4/mmm, No. 123"
}